<i>
YAgO after structural relaxation. Source: Alexandria, functional GGA-PBE.

abc: 3.8776 3.8776 7.5607
angles: 90.00 90.00 90.00
Last column: nearest neighbours and their distance in Å.
Positions (direct):
Ag  0.2500  0.7500  0.9348  4 Ag 2.91, 1 Y 3.16
Ag  0.7500  0.2500  0.0652  4 Ag 2.91, 1 Y 3.16
O  0.2500  0.2500  0.5000  4 Y 2.24
O  0.7500  0.7500  0.5000  4 Y 2.24
Y  0.7500  0.2500  0.6477  4 O 2.24
Y  0.2500  0.7500  0.3523  4 O 2.24

Computed properties:
total magnetic moment = 0.0 μB/cell
space-group type = P4/nmm (129)

<ii>
YAgO after structural relaxation. Source: Alexandria, functional GGA-PBE.

abc: 5.6630 5.6637 7.5867
angles: 111.90 90.00 90.00
Last column: nearest neighbours and their distance in Å.
Positions (direct):
Y  0.0000  0.1753  0.3505  4 O 2.26
Y  0.0000  0.8247  0.6495  4 O 2.26
Y  0.5000  0.3247  0.6495  4 O 2.26
Y  0.5000  0.6753  0.3505  4 O 2.26
Ag  0.6743  0.8258  0.9999  5 Ag 2.79-2.96
Ag  0.3257  0.1742  0.0001  5 Ag 2.79-2.96
Ag  0.8257  0.3258  0.9999  5 Ag 2.79-2.96
Ag  0.1743  0.6742  0.0001  5 Ag 2.79-2.96
O  0.2500  0.4993  0.5000  4 Y 2.26
O  0.7500  0.0007  0.5000  4 Y 2.26
O  0.7500  0.5007  0.5000  4 Y 2.26
O  0.2500  0.9993  0.5000  4 Y 2.26

Computed properties:
total magnetic moment = 0.0 μB/cell
space-group type = Cmce (64)

Most stable to least stable, the ends of the list are <ii> and <i>.

<i>
Zn3AgO after structural relaxation. Source: Alexandria, functional GGA-PBE.

abc: 4.2163 4.2163 4.2163
angles: 90.00 90.00 90.00
Last column: nearest neighbours and their distance in Å.
Positions (direct):
Ag  0.5000  0.5000  0.5000  12 Zn 2.98
Zn  0.5000  0.0000  0.0000  2 O 2.11
Zn  0.0000  0.5000  0.0000  2 O 2.11
Zn  0.0000  0.0000  0.5000  2 O 2.11
O  0.0000  0.0000  0.0000  6 Zn 2.11

Computed properties:
total magnetic moment = 0.0 μB/cell
space-group type = Pm-3m (221)

<ii>
Zn3AgO after structural relaxation. Source: Alexandria, functional GGA-PBE.

abc: 4.8530 4.8530 4.8530
angles: 90.00 90.00 90.00
Last column: nearest neighbours and their distance in Å.
Positions (direct):
Ag  0.0000  0.0000  0.0000  6 Zn 2.43
Zn  0.0000  0.5000  0.0000  2 Ag 2.43
Zn  0.5000  0.0000  0.0000  2 Ag 2.43
Zn  0.0000  0.0000  0.5000  2 Ag 2.43
O  0.5000  0.5000  0.5000  12 Zn 3.43

Computed properties:
total magnetic moment = 0.0 μB/cell
space-group type = Pm-3m (221)

Most stable to least stable, the ends of the list are <i> and <ii>.